The following is a DFT calculation (GGA-PBE) of a relaxed structure of K2LaCu.

abc: 6.5764 12.7814 3.7319
angles: 90.00 90.00 90.00
With the nearest neighbours (Å) after each atom.
Atoms (fractional coordinates):
K1 0.2500 0.2500 0.0000  2 K 3.29
K2 0.2500 0.7500 0.0000  2 K 3.29
K3 0.7500 0.2500 0.0000  2 K 3.29
K4 0.7500 0.7500 0.0000  2 K 3.29
La1 0.0000 0.0000 0.5000  2 Cu 3.29
La2 0.5000 0.5000 0.5000  2 Cu 3.29
Cu1 0.0000 0.5000 0.5000  2 La 3.29
Cu2 0.5000 0.0000 0.5000  2 La 3.29

Energy of formation: 646 meV/atom
Energy relative to the lowest polymorph listed for this composition: 0.485 eV/atom
E: -2.16 eV/atom